(1)
CsSb3As3 | PBE | optimized geometry

The formation energy (no corrections) is 0.0342 eV per atom. As for the symmetry: Pm-3n. For the total energy, the calculation gives -3.8471 eV/atom.

Unit cell a=8.051 b=8.051 c=8.051 alpha=90.00 beta=90.00 gamma=90.00
Fractional positions:
Cs  0.000  0.000  0.000
Cs  0.500  0.500  0.500
Sb  0.000  0.250  0.500
Sb  0.000  0.750  0.500
Sb  0.250  0.500  0.000
Sb  0.500  0.000  0.250
Sb  0.500  0.000  0.750
Sb  0.750  0.500  0.000
As  0.000  0.500  0.250
As  0.000  0.500  0.750
As  0.250  0.000  0.500
As  0.500  0.250  0.000
As  0.500  0.750  0.000
As  0.750  0.000  0.500

---

(2)
Pm8Nd2Dy3 | PBE | optimized geometry

The value obtained for the formation energy is 0.02 eV/atom. As for the symmetry: P-1. For the total energy, the calculation gives -4.7028 eV/atom. As for the polymorph energy (0 for the lowest one): 0.0 kJ per mole of atoms.

Unit cell a=6.282 b=6.288 c=11.486 alpha=89.97 beta=79.48 gamma=80.41
Fractional positions:
Pm  0.039  0.079  0.349
Pm  0.192  0.382  0.727
Pm  0.347  0.692  0.118
Pm  0.423  0.844  0.804
Pm  0.577  0.156  0.196
Pm  0.653  0.308  0.882
Pm  0.808  0.618  0.273
Pm  0.961  0.921  0.651
Nd  0.116  0.231  0.039
Nd  0.884  0.769  0.961
Dy  0.270  0.539  0.425
Dy  0.500  0.000  0.500
Dy  0.730  0.461  0.575

---

(3)
La4Ga2O9 | PBE | optimized geometry

The formation energy (no corrections) is -2.9911 eV per atom. As for the symmetry: P2_1/c. For the total energy, the calculation gives -7.6836 eV/atom.

Unit cell a=8.006 b=11.257 c=11.707 alpha=90.00 beta=109.35 gamma=90.00
Fractional positions:
La  0.021  0.099  0.285
La  0.021  0.401  0.785
La  0.167  0.623  0.573
La  0.167  0.877  0.073
La  0.336  0.125  0.915
La  0.336  0.375  0.415
La  0.476  0.587  0.194
La  0.476  0.913  0.694
La  0.524  0.087  0.306
La  0.524  0.413  0.806
La  0.664  0.625  0.585
La  0.664  0.875  0.085
La  0.833  0.123  0.927
La  0.833  0.377  0.427
La  0.979  0.599  0.215
La  0.979  0.901  0.715
Ga  0.154  0.187  0.617
Ga  0.154  0.313  0.117
Ga  0.280  0.690  0.871
Ga  0.280  0.810  0.371
Ga  0.720  0.190  0.629
Ga  0.720  0.310  0.129
Ga  0.846  0.687  0.883
Ga  0.846  0.813  0.383
O  0.067  0.749  0.885
O  0.067  0.751  0.385
O  0.071  0.011  0.900
O  0.071  0.489  0.400
O  0.138  0.226  0.461
O  0.138  0.274  0.961
O  0.204  0.034  0.678
O  0.204  0.466  0.178
O  0.267  0.722  0.233
O  0.267  0.778  0.733
O  0.276  0.534  0.823
O  0.276  0.966  0.323
O  0.286  0.220  0.248
O  0.286  0.280  0.748
O  0.424  0.001  0.104
O  0.424  0.499  0.604
O  0.426  0.731  0.023
O  0.426  0.769  0.523
O  0.574  0.231  0.477
O  0.574  0.269  0.977
O  0.576  0.501  0.396
O  0.576  0.999  0.896
O  0.714  0.720  0.252
O  0.714  0.780  0.752
O  0.724  0.034  0.677
O  0.724  0.466  0.177
O  0.733  0.222  0.267
O  0.733  0.278  0.767
O  0.796  0.534  0.822
O  0.796  0.966  0.322
O  0.862  0.726  0.039
O  0.862  0.774  0.539
O  0.929  0.511  0.600
O  0.929  0.989  0.100
O  0.933  0.249  0.615
O  0.933  0.251  0.115

---

(4)
MnCdTc2 | PBE | optimized geometry

The value obtained for the formation energy is 0.21 eV/atom. As for the symmetry: P4mm. For the total energy, the calculation gives -7.4962 eV/atom.

Unit cell a=2.987 b=2.987 c=7.262 alpha=90.00 beta=90.00 gamma=90.00
Fractional positions:
Mn  0.000  0.000  0.000
Cd  0.500  0.500  0.727
Tc  0.000  0.000  0.438
Tc  0.500  0.500  0.237

---

(5)
BaSnO2 | PBE | optimized geometry

The formation energy (no corrections) is -1.6374 eV per atom. As for the symmetry: I-42d. For the total energy, the calculation gives -5.5979 eV/atom.

Unit cell a=7.172 b=7.172 c=7.172 alpha=133.66 beta=133.66 gamma=67.62
Fractional positions:
Ba  0.000  0.000  0.000
Ba  0.750  0.250  0.500
Sn  0.250  0.750  0.500
Sn  0.500  0.500  0.000
O  0.163  0.625  0.038
O  0.375  0.413  0.538
O  0.587  0.125  0.962
O  0.875  0.837  0.462

---

(6)
CaPt8Pb3 | PBE | optimized geometry

The value obtained for the formation energy is -0.38 eV/atom. As for the symmetry: R3m. For the total energy, the calculation gives -5.5048 eV/atom.

Unit cell a=9.505 b=9.505 c=9.505 alpha=33.49 beta=33.49 gamma=33.49
Fractional positions:
Ca  0.000  0.000  0.000
Pt  0.186  0.186  0.186
Pt  0.435  0.935  0.935
Pt  0.436  0.436  0.936
Pt  0.436  0.936  0.436
Pt  0.686  0.686  0.686
Pt  0.935  0.435  0.935
Pt  0.935  0.935  0.435
Pt  0.936  0.436  0.436
Pb  0.369  0.369  0.369
Pb  0.495  0.495  0.495
Pb  0.876  0.876  0.876

---

(7)
Fe2IrOs | PBE | optimized geometry

The value obtained for the formation energy is 0.06 eV/atom. As for the symmetry: Amm2. For the total energy, the calculation gives -9.1969 eV/atom.

Unit cell a=3.971 b=4.953 c=4.953 alpha=30.88 beta=90.00 gamma=90.00
Fractional positions:
Fe  0.000  0.000  0.000
Fe  0.500  0.129  0.129
Ir  0.000  0.736  0.736
Os  0.500  0.397  0.397

---

(8)
SrNbIO6 | PBE | optimized geometry

The formation energy (no corrections) is -1.8086 eV per atom. As for the symmetry: P-31c. For the total energy, the calculation gives -6.5920 eV/atom.

Unit cell a=5.508 b=5.508 c=10.718 alpha=90.00 beta=90.00 gamma=120.00
Fractional positions:
Sr  0.000  0.000  0.000
Sr  0.000  0.000  0.500
Nb  0.333  0.667  0.250
Nb  0.667  0.333  0.750
I  0.333  0.667  0.750
I  0.667  0.333  0.250
O  0.009  0.379  0.145
O  0.009  0.630  0.355
O  0.370  0.379  0.355
O  0.370  0.991  0.145
O  0.379  0.009  0.645
O  0.379  0.370  0.855
O  0.621  0.630  0.145
O  0.621  0.991  0.355
O  0.630  0.009  0.855
O  0.630  0.621  0.645
O  0.991  0.370  0.645
O  0.991  0.621  0.855